Computed, not measured: AlTl2CoSn at its PBEsol-relaxed geometry at the meta-GGA SCAN level of DFT.

Unit cell a=5.203 b=5.203 c=5.204 alpha=90.00 beta=90.00 gamma=90.00
Sites, in units of the cell vectors:
Al 0.000 0.000 0.000
Tl 0.000 0.500 0.000
Tl 0.500 0.000 0.000
Co 0.500 0.500 0.500
Sn 0.000 0.000 0.500

Formation enthalpy at 0 K   0.82 eV per atom
Crystal system   tetragonal
V   28.2 A^3/atom
Electronic total energy   -40.3174 eV/atom

Computed, not measured: SrAl9Co2 at its PBEsol-relaxed geometry at the meta-GGA SCAN level of DFT.

Unit cell a=7.851 b=7.851 c=3.870 alpha=90.00 beta=90.00 gamma=120.00
Sites, in units of the cell vectors:
Sr 0.000 0.000 0.000
Al 0.000 0.500 0.000
Al 0.214 0.428 0.500
Al 0.214 0.786 0.500
Al 0.428 0.214 0.500
Al 0.500 0.000 0.000
Al 0.500 0.500 0.000
Al 0.572 0.786 0.500
Al 0.786 0.214 0.500
Al 0.786 0.572 0.500
Co 0.333 0.667 0.000
Co 0.667 0.333 0.000

Formation enthalpy at 0 K   -0.42 eV per atom
Crystal system   hexagonal
V   17.2 A^3/atom
Electronic total energy   -10.9759 eV/atom

Computed, not measured: SrAl2Co2 at its PBEsol-relaxed geometry at the meta-GGA SCAN level of DFT.

Unit cell a=5.823 b=5.823 c=5.823 alpha=138.97 beta=138.97 gamma=59.42
Sites, in units of the cell vectors:
Sr 0.000 0.000 0.000
Al 0.250 0.750 0.500
Al 0.750 0.250 0.500
Co 0.388 0.388 0.000
Co 0.612 0.612 0.000

Formation enthalpy at 0 K   -0.03 eV per atom
Crystal system   tetragonal
V   16.8 A^3/atom
Electronic total energy   -14.5083 eV/atom

Computed, not measured: Ta3AlCo8 at its PBEsol-relaxed geometry at the meta-GGA SCAN level of DFT.

Unit cell a=8.076 b=8.076 c=8.076 alpha=33.57 beta=33.57 gamma=33.57
Sites, in units of the cell vectors:
Ta 0.000 0.000 0.000
Ta 0.125 0.125 0.125
Ta 0.506 0.506 0.506
Al 0.630 0.630 0.630
Co 0.065 0.566 0.566
Co 0.067 0.067 0.562
Co 0.067 0.562 0.067
Co 0.315 0.315 0.315
Co 0.562 0.067 0.067
Co 0.566 0.065 0.566
Co 0.566 0.566 0.065
Co 0.815 0.815 0.815

Formation enthalpy at 0 K   -0.13 eV per atom
Crystal system   trigonal
V   12.0 A^3/atom
Electronic total energy   -28.9543 eV/atom

Computed, not measured: Ta2AlCo at its PBEsol-relaxed geometry at the meta-GGA SCAN level of DFT.

Unit cell a=5.242 b=5.242 c=4.573 alpha=115.77 beta=115.77 gamma=32.35
Sites, in units of the cell vectors:
Ta 0.000 0.000 0.000
Ta 0.232 0.232 0.733
Al 0.784 0.784 0.285
Co 0.502 0.502 0.501

Formation enthalpy at 0 K   -0.20 eV per atom
Crystal system   monoclinic
V   15.0 A^3/atom
Electronic total energy   -39.7549 eV/atom

Computed, not measured: TaAl2Co at its PBEsol-relaxed geometry at the meta-GGA SCAN level of DFT.

Unit cell a=2.832 b=2.832 c=6.841 alpha=90.00 beta=90.00 gamma=90.00
Sites, in units of the cell vectors:
Ta 0.000 0.000 0.000
Al 0.500 0.500 0.296
Al 0.500 0.500 0.704
Co 0.000 0.000 0.500

Formation enthalpy at 0 K   -0.47 eV per atom
Crystal system   tetragonal
V   13.7 A^3/atom
Electronic total energy   -25.3174 eV/atom